Compound: CaCr2Tc
Source: Alexandria via LeMat-Bulk
Functional: GGA-PBE
Structure: relaxed

Lattice parameters (Å, degrees): 5.2400 9.2684 2.5384 90.00 90.00 90.00
Space group Cmmm (No. 65)
Symmetry-distinct sites (fractional):
Ca 0.0000 0.0000 0.0000 (multiplicity 2)
Cr 0.2500 0.2500 0.5000 (multiplicity 4)
Tc 0.0000 0.5000 0.0000 (multiplicity 2)

Values from the calculation:
E_tot = -6.95 eV per atom
energy relative to the elements = 0.953 eV/atom
total magnetic moment = 0.00 μB/f.u.
E above lowest polymorph = 0.4953 eV/atom
DOS(E_F) = 3.71 states/eV/f.u.